Computed, not measured: Na2CrAuF6 after structural relaxation at the PBE with a Hubbard U level of DFT.

Total moment (μB/cell): 2.93
Calculated volume (Å³/cell): 162.9
E (eV per atom): -4.5824

abc: 6.131 6.131 6.131
angles: 60.00 60.00 60.00
Atoms (fractional coordinates):
Na  0.250  0.250  0.250
Na  0.750  0.750  0.750
Cr  0.000  0.000  0.000
Au  0.500  0.500  0.500
F  0.224  0.224  0.776
F  0.224  0.776  0.224
F  0.224  0.776  0.776
F  0.776  0.224  0.224
F  0.776  0.224  0.776
F  0.776  0.776  0.224